Entry from Alexandria via LeMat-Bulk: a relaxed NbVCd2O6 crystal (PBE with a Hubbard U).

a = 5.472 Å, b = 5.601 Å, c = 7.833 Å
α = 90.00°, β = 90.27°, γ = 90.00°
Element x y z (fractional)
Cd  0.989  0.044  0.751
Cd  0.011  0.956  0.249
Cd  0.489  0.456  0.251
Cd  0.511  0.544  0.749
O  0.200  0.202  0.448
O  0.694  0.293  0.556
O  0.194  0.207  0.056
O  0.300  0.702  0.052
O  0.306  0.707  0.444
O  0.398  0.966  0.750
O  0.102  0.466  0.750
O  0.700  0.298  0.948
O  0.800  0.798  0.552
O  0.602  0.034  0.250
O  0.806  0.793  0.944
O  0.898  0.534  0.250
Nb  0.000  0.500  0.000
Nb  0.500  0.000  0.500
V  0.500  0.000  0.000
V  0.000  0.500  0.500

Summary:
Raw total energy ... -6.74 eV per atom
Space-group type ... P2_1/c (14)